4
Lattice="-1.4425 -3.5446 -0.4277 1.8574 -3.0270 1.4882 -5.3606 -1.0587 9.5188" Properties=species:S:1:pos:R:3 comment="Sm2PuTe PBE optimized geometry" de_polymorph_ev_per_atom=0.3329 crystal_system=trigonal space_group="R-3m, No. 166" pbc="T T T"
Te -2.4729 -3.8151 5.2896
Sm -3.7039 -1.3997 6.7574
Sm -1.2418 -6.2306 3.8218
Pu 0.0000 0.0000 0.0000


15
Lattice="-6.9030 -3.5368 -4.2649 5.8669 -5.2585 4.0426 -1.2698 4.4200 7.5674" Properties=species:S:1:pos:R:3 comment="Sm4Pu3Te8 PBE optimized geometry" crystal_system=monoclinic space_group="C2/m, No. 12" pbc="T T T"
Sm -3.4515 -1.7684 -2.1325
Sm 2.9334 -2.6293 2.0213
Sm 0.0000 0.0000 0.0000
Sm -0.6349 2.2100 3.7837
Pu -0.5181 -4.3977 -0.1112
Pu -4.0864 0.4416 1.6513
Pu -1.1530 -2.1877 3.6725
Te -2.3393 -2.0084 0.7783
Te 4.0513 -2.7963 4.9393
Te 1.1698 -0.2173 2.9651
Te 0.6282 -4.6032 2.7928
Te -2.9341 0.2278 4.5523
Te -3.4757 -4.1581 4.3800
Te 0.5458 1.9577 6.6707
Te 0.0334 -2.3670 6.5668


8
Lattice="4.4382 0.0000 0.0000 0.0000 7.6913 -0.0875 0.0000 -2.5079 7.2715" Properties=species:S:1:pos:R:3 comment="SmPu3Te4 PBE optimized geometry" crystal_system=orthorhombic space_group="Cmmm, No. 65" pbc="T T T"
Sm 2.2191 0.0000 0.0000
Pu 0.0000 -1.2539 3.6357
Pu 2.2191 2.5917 3.5920
Pu 0.0000 3.8457 -0.0437
Te 0.0000 1.3030 1.8059
Te 2.2191 5.1434 1.7510
Te 0.0000 3.8804 5.3781
Te 2.2191 0.0401 5.4331


15
Lattice="-2.3000 8.5462 -0.5175 -8.3454 2.4558 1.7087 -1.8604 4.5446 7.3812" Properties=species:S:1:pos:R:3 comment="SmPu6Te8 PBE optimized geometry" crystal_system=cubic space_group="Fm-3m, No. 225" pbc="T T T"
Sm 0.0000 0.0000 0.0000
Pu -5.1029 3.5002 4.5449
Pu -1.1500 4.2731 -0.2587
Pu -5.3227 5.5010 0.5956
Pu -0.9302 2.2723 3.6906
Pu -4.1727 1.2279 0.8543
Pu -2.0802 6.5454 3.4319
Te -9.3794 11.6599 6.4293
Te -3.1265 3.8866 2.1431
Te -4.3021 8.1548 1.9154
Te -8.2038 7.3918 6.6569
Te -4.0851 6.1798 5.8137
Te -8.4208 9.3668 2.7587
Te -5.2202 10.3976 5.5583
Te -7.2856 5.1489 3.0141


4
Lattice="-3.8797 -1.0143 -1.8552 -0.9108 -4.1901 -1.0660 -4.4887 -2.7918 5.6518" Properties=species:S:1:pos:R:3 comment="SmPuTe2 PBE optimized geometry" de_polymorph_ev_per_atom=0.0000 crystal_system=trigonal space_group="R-3m, No. 166" pbc="T T T"
Sm -4.6396 -3.9981 1.3653
Pu 0.0000 0.0000 0.0000
Te -2.3145 -1.9971 0.6705
Te -6.9647 -5.9991 2.0601


4
Lattice="-0.5314 3.2725 -2.0518 1.1520 -1.8426 -3.2372 -7.3542 -2.0894 -1.4279" Properties=species:S:1:pos:R:3 comment="Sm2PuTe PBE optimized geometry" de_polymorph_ev_per_atom=0.0000 crystal_system=tetragonal space_group="P4/mmm, No. 123" pbc="T T T"
Te 0.3103 0.7150 -2.6445
Sm -5.6612 -1.6084 -1.0992
Sm -1.6930 -0.4810 -0.3287
Pu -3.3668 -0.3298 -3.3585


4
Lattice="3.8196 0.0000 0.0000 0.0000 3.8196 0.0000 0.0000 0.0000 7.6811" Properties=species:S:1:pos:R:3 comment="SmPuTe2 PBE optimized geometry" de_polymorph_ev_per_atom=0.1386 crystal_system=tetragonal space_group="P4/mmm, No. 123" pbc="T T T"
Te 0.0000 0.0000 5.7651
Te 0.0000 0.0000 1.9160
Sm 1.9098 1.9098 0.0000
Pu 1.9098 1.9098 3.8406


6
Lattice="4.4275 0.0000 0.0000 0.0000 6.2717 0.0000 -2.2137 -3.1359 6.6763" Properties=species:S:1:pos:R:3 comment="Sm2PuTe3 PBE optimized geometry" crystal_system=orthorhombic space_group="Immm, No. 71" pbc="T T T"
Sm 3.3206 4.7038 1.0834
Sm -1.1069 -1.5679 5.5929
Pu 1.1069 1.5679 3.3381
Te 3.3206 1.5679 1.1414
Te -1.1069 1.5679 5.5348
Te 1.1069 -1.5679 3.3381


8
Lattice="-2.3071 -3.1420 -1.8597 1.0876 -0.2979 4.1692 -13.0050 7.2352 3.9094" Properties=species:S:1:pos:R:3 comment="SmPuTe2 PBE optimized geometry" de_polymorph_ev_per_atom=0.0490 crystal_system=hexagonal space_group="P6_3/mmc, No. 194" pbc="T T T"
Sm -6.5025 3.6176 1.9547
Sm 0.0000 0.0000 0.0000
Pu -4.4268 -0.3852 1.1273
Pu -9.7977 4.1805 5.0916
Te -4.9451 1.4807 3.6329
Te -12.5791 4.1503 3.5780
Te -9.2794 2.3145 2.5860
Te -1.6454 -0.3550 2.6409


3
Lattice="-3.2073 0.2692 2.3921 -1.8930 -2.7437 -2.2293 4.5523 -2.6838 3.0443" Properties=species:S:1:pos:R:3 comment="SmPuTe PBE optimized geometry" de_polymorph_ev_per_atom=0.0000 crystal_system=tetragonal space_group="I4mm, No. 107" pbc="T T T"
Te -1.8721 -2.5653 1.1401
Sm 1.2848 -2.5163 2.0059
Pu 0.0392 -0.0767 0.0612


12
Lattice="7.5401 -0.1189 -1.4207 -4.0752 6.3451 -1.4207 0.1591 0.2859 7.7184" Properties=species:S:1:pos:R:3 comment="Sm5PuTe6 PBE optimized geometry" crystal_system=monoclinic space_group="C2/m, No. 12" pbc="T T T"
Te 2.8212 0.5505 1.2151
Te 4.6431 3.8244 3.6619
Te 0.9793 1.7596 5.0844
Te 2.6447 4.7524 -0.2074
Te -1.0191 2.6876 1.2151
Te 0.8028 5.9616 3.6619
Sm 5.6499 1.1202 2.4385
Sm 3.6797 2.0294 -1.4207
Sm 1.8120 3.2560 2.4385
Sm -0.2148 4.1967 -1.4207
Sm -2.0259 5.3919 2.4385
Pu 0.0000 0.0000 0.0000


8
Lattice="4.4145 0.0000 0.0000 0.0000 7.7025 -0.0486 0.0000 -2.4745 7.2944" Properties=species:S:1:pos:R:3 comment="Sm3PuTe4 PBE optimized geometry" crystal_system=orthorhombic space_group="Cmmm, No. 65" pbc="T T T"
Sm 0.0000 -1.2372 3.6472
Sm 2.2072 2.6140 3.6229
Sm 0.0000 3.8512 -0.0243
Pu 2.2072 0.0000 0.0000
Te 0.0000 1.2993 1.8007
Te 2.2072 5.1662 1.7814
Te 0.0000 3.9287 5.4451
Te 2.2072 0.0618 5.4644


Number 1: uncorrected energy -6.88 eV/atom. Number 2: uncorrected energy -7.10 eV/atom. Number 3: uncorrected energy -8.69 eV/atom. Number 4: uncorrected energy -8.87 eV/atom. Number 5: uncorrected energy -7.59 eV/atom. Number 6: uncorrected energy -7.21 eV/atom. Number 7: uncorrected energy -7.45 eV/atom. Number 8: uncorrected energy -6.84 eV/atom. Number 9: uncorrected energy -7.54 eV/atom. Number 10: uncorrected energy -7.96 eV/atom. Number 11: uncorrected energy -6.08 eV/atom. Number 12: uncorrected energy -6.46 eV/atom.